Density functional theory data (meta-GGA SCAN) for a PBEsol-optimized structure of Mg2RhSI.

```
data_Mg2RhSI
_cell_length_a 4.5774
_cell_length_b 4.5774
_cell_length_c 5.5614
_cell_angle_alpha 90.00
_cell_angle_beta 90.00
_cell_angle_gamma 90.00
_symmetry_space_group_name_H-M 'P 4/m m m'
_symmetry_Int_Tables_number 123
_symmetry_space_group_name_Hall '-P 4 2'
loop_
_atom_site_label
_atom_site_type_symbol
_atom_site_fract_x
_atom_site_fract_y
_atom_site_fract_z
_atom_site_occupancy
Mg1 Mg 0.0000 0.5000 0.0000 1
Rh1 Rh 0.0000 0.0000 0.5000 1
S1 S 0.5000 0.5000 0.0000 1
I1 I 0.5000 0.5000 0.5000 1
```

Computed properties:
calculated volume	117	Å³/cell
DFT total energy	-88.15	eV per cell
raw formation energy	8.9	kcal/mol of atoms
crystal system	tetragonal
M_tot	0.0	Bohr magnetons per cell

Density functional theory data (meta-GGA SCAN) for a PBEsol-optimized structure of MgTeRhI2.

```
data_MgTeRhI2
_cell_length_a 5.4316
_cell_length_b 5.4316
_cell_length_c 5.4387
_cell_angle_alpha 90.00
_cell_angle_beta 90.00
_cell_angle_gamma 90.00
_symmetry_space_group_name_H-M 'P 4/m m m'
_symmetry_Int_Tables_number 123
_symmetry_space_group_name_Hall '-P 4 2'
loop_
_atom_site_label
_atom_site_type_symbol
_atom_site_fract_x
_atom_site_fract_y
_atom_site_fract_z
_atom_site_occupancy
Mg1 Mg 0.0000 0.0000 0.0000 1
Te1 Te 0.0000 0.0000 0.5000 1
Rh1 Rh 0.5000 0.5000 0.5000 1
I1 I 0.0000 0.5000 0.0000 1
```

Computed properties:
calculated volume	160	Å³/cell
DFT total energy	-146.81	eV per cell
raw formation energy	12.3	kcal/mol of atoms
crystal system	tetragonal
M_tot	3.0	Bohr magnetons per cell

Density functional theory data (meta-GGA SCAN) for a PBEsol-optimized structure of MgRuI2.

```
data_MgRuI2
_cell_length_a 7.0945
_cell_length_b 7.0945
_cell_length_c 7.0945
_cell_angle_alpha 90.00
_cell_angle_beta 90.00
_cell_angle_gamma 90.00
_symmetry_space_group_name_H-M 'F m -3 m'
_symmetry_Int_Tables_number 225
_symmetry_space_group_name_Hall '-F 4 2 3'
loop_
_atom_site_label
_atom_site_type_symbol
_atom_site_fract_x
_atom_site_fract_y
_atom_site_fract_z
_atom_site_occupancy
Mg1 Mg 0.0000 0.0000 0.0000 1
Ru1 Ru 0.0000 0.0000 0.5000 1
I1 I 0.2500 0.2500 0.2500 1
```

Computed properties:
calculated volume	357	Å³/cell
DFT total energy	-444.56	eV per cell
raw formation energy	12.4	kcal/mol of atoms
crystal system	cubic
M_tot	8.6	Bohr magnetons per cell

Density functional theory data (meta-GGA SCAN) for a PBEsol-optimized structure of MgSb2RuI.

```
data_MgSb2RuI
_cell_length_a 5.2391
_cell_length_b 5.2391
_cell_length_c 5.3689
_cell_angle_alpha 90.00
_cell_angle_beta 90.00
_cell_angle_gamma 90.00
_symmetry_space_group_name_H-M 'P 4/m m m'
_symmetry_Int_Tables_number 123
_symmetry_space_group_name_Hall '-P 4 2'
loop_
_atom_site_label
_atom_site_type_symbol
_atom_site_fract_x
_atom_site_fract_y
_atom_site_fract_z
_atom_site_occupancy
Mg1 Mg 0.0000 0.0000 0.0000 1
Sb1 Sb 0.0000 0.5000 0.0000 1
Ru1 Ru 0.5000 0.5000 0.5000 1
I1 I 0.0000 0.0000 0.5000 1
```

Computed properties:
calculated volume	147	Å³/cell
DFT total energy	-145.11	eV per cell
raw formation energy	27.5	kcal/mol of atoms
crystal system	tetragonal
M_tot	2.3	Bohr magnetons per cell